Ga2Tc2O5 | PBE | optimized geometry

## Properties
- Raw total energy: -6.5587 eV per atom
- Polymorph energy (0 for the lowest one): 0 meV/atom
- Calculated density: 6121 kg/m³
- Volume: 112.7 Å³/cell

abc: 7.5451 3.8647 3.8647
angles: 90.00 90.00 90.00
Element x y z (fractional)
1 Ga 0.0000 0.0000 0.0000
2 Ga 0.5000 0.0000 0.0000
3 O 0.2222 0.5000 0.0000
4 O 0.7778 0.5000 0.0000
5 O 0.2222 0.0000 0.5000
6 O 0.7778 0.0000 0.5000
7 O 0.5000 0.5000 0.5000
8 Tc 0.2325 0.5000 0.5000
9 Tc 0.7675 0.5000 0.5000